Li4Nb2Ni3Sn3O16 PBE+U relaxed; SG = No. 8; final energy = -179.0 eV per cell; M_tot = 0.214 μB per atom; theoretical density = 5.2 Mg/m³
1.0
-2.4836 4.8321 2.8403
-6.0507 0.1925 0.9677
1.1415 -4.4101 8.7521
Sn Ni O Li Nb
3 3 16 4 2
Direct
0.3362 0.8310 0.2146 Sn
0.1722 0.1722 0.7167 Sn
0.8310 0.3362 0.2146 Sn
0.8276 0.8276 0.2147 Ni
0.1729 0.6618 0.7114 Ni
0.6618 0.1729 0.7114 Ni
0.4887 0.4887 0.8523 O
0.8296 0.8296 0.5896 O
0.5112 0.5112 0.3406 O
0.8335 0.3401 0.5883 O
0.9992 0.9992 0.8001 O
0.6621 0.1687 0.0924 O
0.1592 0.1592 0.0941 O
0.0422 0.4799 0.8515 O
0.5144 0.9559 0.3466 O
0.6656 0.6656 0.1024 O
0.3401 0.8335 0.5883 O
0.4799 0.0422 0.8515 O
0.3351 0.3351 0.6087 O
0.9939 0.9939 0.3123 O
0.9559 0.5144 0.3466 O
0.1687 0.6621 0.0924 O
0.9880 0.9880 0.9844 Li
0.6768 0.6768 0.9010 Li
0.9956 0.9956 0.4982 Li
0.3301 0.3301 0.4068 Li
0.6760 0.6760 0.4987 Nb
0.3527 0.3527 0.9778 Nb